Entry 1:
The following is a PBE calculation of CuSiHPb2 after structural relaxation, from Alexandria via LeMat-Bulk.

```
CuSiHPb2
1.0
5.5774 0.0000 0.0000
0.0000 5.5774 0.0000
0.0000 0.0000 4.3522
Cu Si H Pb
1 1 1 2
Direct
0.0000 0.0000 0.0000 Cu
0.0000 0.0000 0.5000 Si
0.5000 0.5000 0.0000 H
0.0000 0.5000 0.5000 Pb
0.5000 0.0000 0.5000 Pb
```

**Total DFT energy (no corrections)**: -3.272 eV per atom

***

Entry 2:
The following is a PBE calculation of SrCu2HPb after structural relaxation, from Alexandria via LeMat-Bulk.

```
SrCu2HPb
1.0
4.5914 0.0000 0.0000
0.0000 4.5914 0.0000
0.0000 0.0000 4.4744
Sr Cu H Pb
1 2 1 1
Direct
0.0000 0.0000 0.0000 Sr
0.0000 0.5000 0.5000 Cu
0.5000 0.0000 0.5000 Cu
0.0000 0.0000 0.5000 H
0.5000 0.5000 0.0000 Pb
```

**Total DFT energy (no corrections)**: -3.202 eV per atom

***

Entry 3:
The following is a PBE calculation of TlCuHPb2 after structural relaxation, from Alexandria via LeMat-Bulk.

```
TlCuHPb2
1.0
5.6825 0.0000 0.0000
0.0000 5.6825 0.0000
0.0000 0.0000 3.4537
Tl Cu H Pb
1 1 1 2
Direct
0.0000 0.0000 0.0000 Tl
0.5000 0.5000 0.5000 Cu
0.5000 0.5000 0.0000 H
0.0000 0.5000 0.5000 Pb
0.5000 0.0000 0.5000 Pb
```

**Total DFT energy (no corrections)**: -3.228 eV per atom

***

Entry 4:
The following is a PBE calculation of Y2CuHPb after structural relaxation, from Alexandria via LeMat-Bulk.

```
Y2CuHPb
1.0
4.6550 0.0000 0.0000
0.0000 4.6550 0.0000
0.0000 0.0000 4.7360
Y Cu H Pb
2 1 1 1
Direct
0.0000 0.5000 0.0000 Y
0.5000 0.0000 0.0000 Y
0.0000 0.0000 0.5000 Cu
0.5000 0.5000 0.0000 H
0.5000 0.5000 0.5000 Pb
```

**ΔE to the lowest computed polymorph**: 0.241 eV per atom
**Total DFT energy (no corrections)**: -4.905 eV per atom

***

Entry 5:
The following is a PBE calculation of Y2CuHPb after structural relaxation, from Alexandria via LeMat-Bulk.

```
Y2CuHPb
1.0
4.8912 0.0000 0.0000
0.0000 4.8912 0.0000
0.0000 0.0000 4.1352
Y Cu H Pb
2 1 1 1
Direct
0.0000 0.5000 0.0000 Y
0.5000 0.0000 0.0000 Y
0.0000 0.0000 0.5000 Cu
0.0000 0.0000 0.0000 H
0.5000 0.5000 0.5000 Pb
```

**ΔE to the lowest computed polymorph**: 0.000 eV per atom
**Total DFT energy (no corrections)**: -5.146 eV per atom

***

Entry 6:
The following is a PBE calculation of Zr2CuHPb after structural relaxation, from Alexandria via LeMat-Bulk.

```
Zr2CuHPb
1.0
4.3770 0.0000 0.0000
0.0000 4.3770 0.0000
0.0000 0.0000 4.3513
Zr Cu H Pb
2 1 1 1
Direct
0.0000 0.5000 0.0000 Zr
0.5000 0.0000 0.0000 Zr
0.0000 0.0000 0.5000 Cu
0.0000 0.0000 0.0000 H
0.5000 0.5000 0.5000 Pb
```

**Total DFT energy (no corrections)**: -5.844 eV per atom

***

Entry 7:
The following is a PBE calculation of Cu2HPd3 after structural relaxation, from Alexandria via LeMat-Bulk.

```
Cu2HPd3
1.0
4.4128 0.0000 0.0000
-0.0009 5.5703 0.0000
-2.1260 -2.7788 6.2093
Cu H Pd
4 2 6
Direct
0.1770 0.1820 0.3643 Cu
0.1770 0.6817 0.3643 Cu
0.8230 0.3183 0.6357 Cu
0.8230 0.8180 0.6357 Cu
0.3981 0.2499 0.9998 H
0.6019 0.7501 0.0002 H
0.0066 0.7500 0.0000 Pd
0.3639 0.6104 0.7213 Pd
0.3663 0.1102 0.7209 Pd
0.6337 0.8898 0.2791 Pd
0.6361 0.3896 0.2787 Pd
0.9934 0.2500 0.0000 Pd
```

**Total DFT energy (no corrections)**: -4.564 eV per atom

***

Entry 8:
The following is a PBE calculation of CuH4Pd3 after structural relaxation, from Alexandria via LeMat-Bulk.

```
CuH4Pd3
1.0
6.0734 0.0000 0.0000
0.0000 4.9337 0.0000
0.0000 0.0000 4.9375
Cu H Pd
2 8 6
Direct
0.0000 0.1816 0.0000 Cu
0.5000 0.8184 0.5000 Cu
0.0000 0.1762 0.3647 H
0.0000 0.8427 0.8624 H
0.2478 0.3300 0.8646 H
0.2522 0.6700 0.3646 H
0.5000 0.1573 0.3624 H
0.5000 0.8238 0.8647 H
0.7478 0.6700 0.3646 H
0.7522 0.3300 0.8646 H
0.0000 0.8269 0.4956 Pd
0.2461 0.6779 0.9969 Pd
0.2539 0.3221 0.4969 Pd
0.5000 0.1731 0.9956 Pd
0.7461 0.3221 0.4969 Pd
0.7539 0.6779 0.9969 Pd
```

**ΔE to the lowest computed polymorph**: 0.020 eV per atom
**Total DFT energy (no corrections)**: -4.172 eV per atom

***

Entry 9:
The following is a PBE calculation of Cu3HPd6 after structural relaxation, from Alexandria via LeMat-Bulk.

```
Cu3HPd6
1.0
7.3272 0.0000 0.0000
0.0000 4.4968 0.0000
-1.4762 0.0000 8.1097
Cu H Pd
6 2 12
Direct
0.0494 0.2500 0.0942 Cu
0.0645 0.2500 0.7522 Cu
0.2698 0.7500 0.4652 Cu
0.7302 0.2500 0.5348 Cu
0.9355 0.7500 0.2478 Cu
0.9506 0.7500 0.9058 Cu
0.4833 0.7500 0.1596 H
0.5167 0.2500 0.8404 H
0.0548 0.2500 0.4201 Pd
0.2417 0.7500 0.1374 Pd
0.2711 0.7500 0.7963 Pd
0.3746 0.2500 0.9873 Pd
0.3866 0.2500 0.6404 Pd
0.3897 0.2500 0.3174 Pd
0.6103 0.7500 0.6826 Pd
0.6134 0.7500 0.3596 Pd
0.6254 0.7500 0.0127 Pd
0.7289 0.2500 0.2037 Pd
0.7583 0.2500 0.8626 Pd
0.9452 0.7500 0.5799 Pd
```

**ΔE to the lowest computed polymorph**: 0.000 eV per atom
**Total DFT energy (no corrections)**: -4.730 eV per atom

***

Entry 10:
The following is a PBE calculation of Cu2HPd4 after structural relaxation, from Alexandria via LeMat-Bulk.

```
Cu2HPd4
1.0
2.4042 -1.3882 0.0000
2.4042 1.3882 0.0000
-0.0062 0.0000 13.5597
Cu H Pd
2 1 4
Direct
0.0000 0.0000 0.0000 Cu
0.0006 0.0006 0.3137 Cu
0.0007 0.0007 0.5425 H
0.3327 0.3327 0.8443 Pd
0.3339 0.3339 0.1576 Pd
0.6673 0.6673 0.4719 Pd
0.9986 0.9986 0.6703 Pd
```

**ΔE to the lowest computed polymorph**: 0.017 eV per atom
**Total DFT energy (no corrections)**: -4.675 eV per atom

***

Entry 11:
The following is a PBE calculation of Cu3HPd2 after structural relaxation, from Alexandria via LeMat-Bulk.

```
Cu3HPd2
1.0
3.9870 0.0000 0.0000
-1.9935 3.4528 0.0000
0.0000 0.0000 5.4510
Cu H Pd
3 1 2
Direct
0.0000 0.0000 0.0000 Cu
0.0000 0.0000 0.5000 Cu
0.6667 0.3333 0.0000 Cu
0.6667 0.3333 0.5000 H
0.3333 0.6667 0.2541 Pd
0.3333 0.6667 0.7459 Pd
```

**Total DFT energy (no corrections)**: -4.095 eV per atom

***

Entry 12:
The following is a PBE calculation of CuH4Pd3 after structural relaxation, from Alexandria via LeMat-Bulk.

```
CuH4Pd3
1.0
-2.1016 2.1016 4.1771
2.1016 -2.1016 4.1771
2.1016 2.1016 -4.1771
Cu H Pd
1 4 3
Direct
0.0000 0.0000 0.0000 Cu
0.1228 0.6275 0.0000 H
0.3725 0.3725 0.4954 H
0.6275 0.1228 0.0000 H
0.8772 0.8772 0.5046 H
0.2500 0.7500 0.5000 Pd
0.5000 0.5000 0.0000 Pd
0.7500 0.2500 0.5000 Pd
```

**ΔE to the lowest computed polymorph**: 0.000 eV per atom
**Total DFT energy (no corrections)**: -4.192 eV per atom

***

Entry 13:
The following is a PBE calculation of CuHPd after structural relaxation, from Alexandria via LeMat-Bulk.

```
CuHPd
1.0
0.0000 2.5399 2.5399
2.5399 0.0000 2.5399
2.5399 2.5399 0.0000
Cu H Pd
1 1 1
Direct
0.0000 0.0000 0.0000 Cu
0.2500 0.2500 0.2500 H
0.5000 0.5000 0.5000 Pd
```

**ΔE to the lowest computed polymorph**: 0.322 eV per atom
**Total DFT energy (no corrections)**: -3.974 eV per atom

***

Entry 14:
The following is a PBE calculation of CuHPd after structural relaxation, from Alexandria via LeMat-Bulk.

```
CuHPd
1.0
2.8243 0.0000 0.0000
0.0000 2.8243 0.0000
0.0000 0.0000 3.8005
Cu H Pd
1 1 1
Direct
0.0000 0.0000 0.0000 Cu
0.0000 0.0000 0.5000 H
0.5000 0.5000 0.5000 Pd
```

**ΔE to the lowest computed polymorph**: 0.000 eV per atom
**Total DFT energy (no corrections)**: -4.296 eV per atom

***

Entry 15:
The following is a PBE calculation of CuHPd2 after structural relaxation, from Alexandria via LeMat-Bulk.

```
CuHPd2
1.0
5.8505 0.0000 0.0000
0.0000 5.8505 0.0000
0.0000 0.0000 2.7965
Cu H Pd
2 2 4
Direct
0.0000 0.0000 0.0000 Cu
0.5000 0.5000 0.0000 Cu
0.0000 0.5000 0.0000 H
0.5000 0.0000 0.0000 H
0.1632 0.3368 0.5000 Pd
0.3368 0.8368 0.5000 Pd
0.6632 0.1632 0.5000 Pd
0.8368 0.6632 0.5000 Pd
```

**ΔE to the lowest computed polymorph**: 0.077 eV per atom
**Total DFT energy (no corrections)**: -4.443 eV per atom

***

Entry 16:
The following is a PBE calculation of Cu2HPd4 after structural relaxation, from Alexandria via LeMat-Bulk.

```
Cu2HPd4
1.0
-1.8911 1.8911 6.6360
1.8911 -1.8911 6.6360
1.8911 1.8911 -6.6360
Cu H Pd
2 1 4
Direct
0.1464 0.1464 0.0000 Cu
0.8536 0.8536 0.0000 Cu
0.0000 0.0000 0.0000 H
0.0000 0.5000 0.5000 Pd
0.3338 0.3338 0.0000 Pd
0.5000 0.0000 0.5000 Pd
0.6662 0.6662 0.0000 Pd
```

**ΔE to the lowest computed polymorph**: 0.174 eV per atom
**Total DFT energy (no corrections)**: -4.519 eV per atom

***

Entry 17:
The following is a PBE calculation of CuHPd after structural relaxation, from Alexandria via LeMat-Bulk.

```
CuHPd
1.0
2.8753 0.0000 0.0000
-1.4376 2.4901 0.0000
0.0000 0.0000 4.3074
Cu H Pd
1 1 1
Direct
0.0000 0.0000 0.0000 Cu
0.6667 0.3333 0.3100 H
0.3333 0.6667 0.5112 Pd
```

**ΔE to the lowest computed polymorph**: 0.063 eV per atom
**Total DFT energy (no corrections)**: -4.233 eV per atom

***

Entry 18:
The following is a PBE calculation of Cu2HPd after structural relaxation, from Alexandria via LeMat-Bulk.

```
Cu2HPd
1.0
5.4603 0.0000 0.0000
0.0000 7.3058 0.0000
0.0000 0.0000 4.3585
Cu H Pd
8 4 4
Direct
0.2082 0.0764 0.2066 Cu
0.2082 0.4236 0.2066 Cu
0.2918 0.5764 0.7066 Cu
0.2918 0.9236 0.7066 Cu
0.7082 0.0764 0.2934 Cu
0.7082 0.4236 0.2934 Cu
0.7918 0.5764 0.7934 Cu
0.7918 0.9236 0.7934 Cu
0.2199 0.7500 0.9853 H
0.2801 0.2500 0.4853 H
0.7199 0.7500 0.5147 H
0.7801 0.2500 0.0147 H
0.0091 0.2500 0.7138 Pd
0.4909 0.7500 0.2138 Pd
0.5091 0.2500 0.7862 Pd
0.9909 0.7500 0.2862 Pd
```

**ΔE to the lowest computed polymorph**: 0.000 eV per atom
**Total DFT energy (no corrections)**: -4.182 eV per atom

***

Entry 19:
The following is a PBE calculation of CuH4Pd5 after structural relaxation, from Alexandria via LeMat-Bulk.

```
CuH4Pd5
1.0
2.9642 0.0000 0.0000
-0.0014 5.8404 0.0000
-1.4792 -1.4646 5.7990
Cu H Pd
1 4 5
Direct
0.0000 0.0000 0.0000 Cu
0.1708 0.1258 0.3496 H
0.4987 0.2891 0.0008 H
0.5013 0.7109 0.9992 H
0.8292 0.8742 0.6504 H
0.0000 0.5000 0.0000 Pd
0.3357 0.6727 0.6701 Pd
0.3391 0.1608 0.6774 Pd
0.6609 0.8392 0.3226 Pd
0.6643 0.3273 0.3299 Pd
```

**ΔE to the lowest computed polymorph**: 0.000 eV per atom
**Total DFT energy (no corrections)**: -4.410 eV per atom

***

Entry 20:
The following is a PBE calculation of Cu2HPd8 after structural relaxation, from Alexandria via LeMat-Bulk.

```
Cu2HPd8
1.0
3.4304 -6.6498 0.0000
3.4304 6.6498 0.0000
-2.5948 0.0000 3.3317
Cu H Pd
2 1 8
Direct
0.1933 0.8067 0.0000 Cu
0.8067 0.1933 0.0000 Cu
0.5029 0.5029 0.9445 H
0.0000 0.0000 0.9987 Pd
0.1395 0.3552 0.7479 Pd
0.2962 0.7038 0.5000 Pd
0.3552 0.1395 0.7479 Pd
0.4998 0.4998 0.4983 Pd
0.6447 0.8606 0.2530 Pd
0.7038 0.2962 0.5000 Pd
0.8606 0.6447 0.2530 Pd
```

**Total DFT energy (no corrections)**: -4.841 eV per atom